Record 1
Below is a geometry-optimized LiGaPb structure, with properties calculated at the PBE-GGA level.

Computed properties:
Space group = C2/c (15)

extended XYZ file:
```
6
Lattice="4.028 -3.986 0.000 4.028 3.986 0.000 -3.675 0.000 4.064" Properties=species:S:1:pos:R:3 pbc="T T T"
Li 2.014 1.993 0.000
Li 0.176 -1.993 2.032
Ga 0.000 0.000 0.000
Ga -1.838 0.000 2.032
Pb 1.271 1.060 3.048
Pb 3.109 -1.060 1.016
```


Record 2
Below is a geometry-optimized Li2Ga6Pb structure, with properties calculated at the PBE-GGA level.

Computed properties:
Space group = C2/m (12)

extended XYZ file:
```
9
Lattice="6.559 -3.682 0.000 6.559 3.682 0.000 -1.140 0.000 3.720" Properties=species:S:1:pos:R:3 pbc="T T T"
Li 1.526 0.000 0.477
Li 10.451 0.000 3.244
Ga 3.749 1.345 1.167
Ga 5.989 2.422 1.860
Ga 3.749 -1.345 1.167
Ga 8.229 1.345 2.553
Ga 5.989 -2.422 1.860
Ga 8.229 -1.345 2.553
Pb 6.559 0.000 0.000
```


Record 3
Below is a geometry-optimized LiGaPb structure, with properties calculated at the PBE-GGA level.

Computed properties:
Space group = R-3m (166)

extended XYZ file:
```
6
Lattice="2.285 1.319 7.826 -2.285 1.319 7.826 0.000 -2.639 7.826" Properties=species:S:1:pos:R:3 pbc="T T T"
Li 0.000 0.000 1.506
Li 0.000 0.000 21.972
Ga 0.000 0.000 7.643
Ga 0.000 0.000 15.835
Pb 0.000 0.000 4.673
Pb 0.000 0.000 18.805
```


Record 4
Below is a geometry-optimized LiGaPb structure, with properties calculated at the PBE-GGA level.

Computed properties:
Space group = P1 (1)

extended XYZ file:
```
12
Lattice="7.039 0.000 0.000 -2.723 6.493 0.000 -1.087 -3.932 6.018" Properties=species:S:1:pos:R:3 pbc="T T T"
Li 0.000 0.000 0.000
Li -1.141 2.472 1.362
Li 2.297 2.041 0.886
Li 1.546 3.812 3.287
Ga 0.750 0.951 2.833
Ga 3.619 1.998 3.191
Ga 5.130 0.003 2.164
Ga 3.911 4.334 1.886
Pb -0.599 -0.918 4.798
Pb -0.980 2.895 4.505
Pb -0.253 5.341 1.438
Pb 2.876 -0.376 4.846
```


Number 1: energy -18.30 eV per cell. Number 2: energy -26.71 eV per cell. Number 3: energy -18.18 eV per cell. Number 4: energy -35.97 eV per cell.